No. 1
Here is a relaxed structure of FeCoP2Cl from Alexandria via LeMat-Bulk. Energies are from PBE-GGA.

a b c (Å): 4.2182 4.2182 4.9793
angles (deg): 90.00 90.00 90.00
Closest atoms and distances in Å follow each position.
Space group P4/mmm (No. 123)
Symmetry-distinct sites (fractional):
Fe  0.0000  0.0000  0.0000 (multiplicity 1)  4 P 2.11
Co  0.5000  0.5000  0.5000 (multiplicity 1)  4 Cl 2.98, 8 P 3.26
P  0.0000  0.5000  0.0000 (multiplicity 2)  2 Fe 2.11
Cl  0.0000  0.0000  0.5000 (multiplicity 1)  2 Fe 2.49

Output
The theoretical density comes out at 3.98 Mg/m³. The uncorrected formation energy is 0.7032 eV per atom. As for the total magnetization: 1.715 μB/f.u. The excess energy over the best structure of this formula in the dataset is 0.000 eV per atom.

No. 2
Here is a relaxed structure of FeCoP2Cl from Alexandria via LeMat-Bulk. Energies are from PBE-GGA.

a b c (Å): 4.2416 4.2416 4.7316
angles (deg): 90.00 90.00 90.00
Closest atoms and distances in Å follow each position.
Space group P4/mmm (No. 123)
Symmetry-distinct sites (fractional):
Fe  0.0000  0.0000  0.0000 (multiplicity 1)  4 Cl 3.00, 8 P 3.18
Co  0.5000  0.5000  0.5000 (multiplicity 1)  4 P 2.12, 2 Cl 2.37
P  0.0000  0.5000  0.5000 (multiplicity 2)  2 Co 2.12
Cl  0.5000  0.5000  0.0000 (multiplicity 1)  2 Co 2.37

Output
The theoretical density comes out at 4.14 Mg/m³. The uncorrected formation energy is 0.9150 eV per atom. As for the total magnetization: 0.035 μB/f.u. The excess energy over the best structure of this formula in the dataset is 0.212 eV per atom.

No. 3
Here is a relaxed structure of FeCo2PbCl from Alexandria via LeMat-Bulk. Energies are from PBE-GGA.

a b c (Å): 4.0935 4.0935 5.7579
angles (deg): 90.00 90.00 90.00
Closest atoms and distances in Å follow each position.
Space group P4/mmm (No. 123)
Symmetry-distinct sites (fractional):
Fe  0.0000  0.0000  0.0000 (multiplicity 1)  4 Pb 2.89
Co  0.0000  0.5000  0.5000 (multiplicity 2)  2 Cl 2.05
Pb  0.5000  0.5000  0.0000 (multiplicity 1)  2 Cl 2.88, 4 Fe 2.89
Cl  0.5000  0.5000  0.5000 (multiplicity 1)  4 Co 2.05

Output
The theoretical density comes out at 7.17 Mg/m³. The uncorrected formation energy is 1.0317 eV per atom. As for the total magnetization: 5.282 μB/f.u.

No. 4
Here is a relaxed structure of RbFeCo2Cl8 from Alexandria via LeMat-Bulk. Energies are from PBE-GGA.

a b c (Å): 5.9728 6.8447 9.8904
angles (deg): 73.44 82.72 67.96
Closest atoms and distances in Å follow each position.
Space group P-1 (No. 2)
Symmetry-distinct sites (fractional):
Rb  0.0000  0.0000  0.0000 (multiplicity 1)  6 Cl 3.41-3.67
Fe  0.0000  0.5000  0.5000 (multiplicity 1)  6 Cl 2.29-2.31
Co  0.4012  0.4110  0.7208 (multiplicity 2)  4 Cl 2.19-2.26
Cl  0.1127  0.7106  0.6010 (multiplicity 2)  1 Co 2.25, 1 Fe 2.29
Cl  0.2268  0.5756  0.2988 (multiplicity 2)  1 Co 2.24, 1 Fe 2.31
Cl  0.3242  0.2053  0.6033 (multiplicity 2)  1 Co 2.26, 1 Fe 2.29
Cl  0.3513  0.3097  0.9502 (multiplicity 2)  1 Co 2.19

Output
The theoretical density comes out at 2.51 Mg/m³. The uncorrected formation energy is -0.8012 eV per atom. As for the total magnetization: 7.000 μB/f.u.

No. 5
Here is a relaxed structure of RbFe2CoCl8 from Alexandria via LeMat-Bulk. Energies are from PBE-GGA.

a b c (Å): 10.4602 7.0496 9.4741
angles (deg): 90.00 96.58 90.00
Closest atoms and distances in Å follow each position.
Space group C2/m (No. 12)
Symmetry-distinct sites (fractional):
Rb  0.0000  0.0000  0.0000 (multiplicity 2)  6 Cl 3.42-3.47
Fe  0.1192  0.5000  0.3000 (multiplicity 4)  4 Cl 2.21-2.27
Co  0.0000  0.0000  0.5000 (multiplicity 2)  6 Cl 2.40-2.48
Cl  0.0108  0.2429  0.6896 (multiplicity 8)  1 Fe 2.27, 1 Co 2.48
Cl  0.1865  0.5000  0.0872 (multiplicity 4)  1 Fe 2.21
Cl  0.2301  0.0000  0.5136 (multiplicity 4)  1 Fe 2.23, 1 Co 2.40

Output
The theoretical density comes out at 2.58 Mg/m³. The uncorrected formation energy is -0.9164 eV per atom. As for the total magnetization: 12.000 μB/f.u.

No. 6
Here is a relaxed structure of RbFeCoCl5 from Alexandria via LeMat-Bulk. Energies are from PBE-GGA.

a b c (Å): 8.7364 11.5603 9.0971
angles (deg): 90.00 112.39 90.00
Closest atoms and distances in Å follow each position.
Space group C2/c (No. 15)
Symmetry-distinct sites (fractional):
Rb  0.0000  0.1563  0.2500 (multiplicity 4)  7 Cl 3.25-3.45
Fe  0.0000  0.5000  0.0000 (multiplicity 4)  6 Cl 2.38-2.65
Co  0.0000  0.1919  0.7500 (multiplicity 4)  4 Cl 2.28
Cl  0.0000  0.4390  0.2500 (multiplicity 4)  2 Fe 2.38
Cl  0.1020  0.3046  0.6033 (multiplicity 8)  1 Co 2.28, 1 Fe 2.48
Cl  0.1953  0.0777  0.9299 (multiplicity 8)  1 Co 2.28

Output
The theoretical density comes out at 2.95 Mg/m³. The uncorrected formation energy is -0.9505 eV per atom. As for the total magnetization: 7.000 μB/f.u.

No. 7
Here is a relaxed structure of RbFeCoCl6 from Alexandria via LeMat-Bulk. Energies are from PBE-GGA.

a b c (Å): 6.3609 11.0161 7.3561
angles (deg): 90.00 90.23 90.00
Closest atoms and distances in Å follow each position.
Space group C2 (No. 5)
Symmetry-distinct sites (fractional):
Rb  0.0000  0.0000  0.0000 (multiplicity 2)  6 Cl 3.33
Fe  0.0000  0.3335  0.5000 (multiplicity 2)  6 Cl 2.41-2.42
Co  0.0000  0.6671  0.5000 (multiplicity 2)  6 Cl 2.42-2.43
Cl  0.1167  0.4997  0.6897 (multiplicity 4)  1 Fe 2.42, 1 Co 2.43
Cl  0.1881  0.1897  0.6875 (multiplicity 4)  1 Fe 2.41, 1 Co 2.43
Cl  0.1887  0.8115  0.6863 (multiplicity 4)  1 Co 2.42, 1 Fe 2.42

Output
The theoretical density comes out at 2.66 Mg/m³. The uncorrected formation energy is -0.9573 eV per atom. As for the total magnetization: 8.001 μB/f.u.

No. 8
Here is a relaxed structure of FeCoS2Cl from Alexandria via LeMat-Bulk. Energies are from PBE-GGA.

a b c (Å): 4.3246 4.3246 4.8327
angles (deg): 90.00 90.00 90.00
Closest atoms and distances in Å follow each position.
Space group P4/mmm (No. 123)
Symmetry-distinct sites (fractional):
Fe  0.0000  0.0000  0.0000 (multiplicity 1)  4 S 2.16, 2 Cl 2.42
Co  0.5000  0.5000  0.5000 (multiplicity 1)  4 Cl 3.06, 8 S 3.24
S  0.0000  0.5000  0.0000 (multiplicity 2)  2 Fe 2.16
Cl  0.0000  0.0000  0.5000 (multiplicity 1)  2 Fe 2.42

Output
The theoretical density comes out at 3.94 Mg/m³. The uncorrected formation energy is 0.6072 eV per atom. As for the total magnetization: 2.486 μB/f.u. The excess energy over the best structure of this formula in the dataset is 0.119 eV per atom.

No. 9
Here is a relaxed structure of FeCoS2Cl from Alexandria via LeMat-Bulk. Energies are from PBE-GGA.

a b c (Å): 4.4217 4.4217 4.5764
angles (deg): 90.00 90.00 90.00
Closest atoms and distances in Å follow each position.
Space group P4/mmm (No. 123)
Symmetry-distinct sites (fractional):
Fe  0.0000  0.0000  0.0000 (multiplicity 1)  4 Cl 3.13, 8 S 3.18
Co  0.5000  0.5000  0.5000 (multiplicity 1)  4 S 2.21, 2 Cl 2.29
S  0.0000  0.5000  0.5000 (multiplicity 2)  2 Co 2.21
Cl  0.5000  0.5000  0.0000 (multiplicity 1)  2 Co 2.29

Output
The theoretical density comes out at 3.98 Mg/m³. The uncorrected formation energy is 0.4882 eV per atom. As for the total magnetization: 5.067 μB/f.u. The excess energy over the best structure of this formula in the dataset is 0.000 eV per atom.

No. 10
Here is a relaxed structure of FeCoSCl2 from Alexandria via LeMat-Bulk. Energies are from PBE-GGA.

a b c (Å): 4.7442 4.7442 4.5641
angles (deg): 90.00 90.00 90.00
Closest atoms and distances in Å follow each position.
Space group P4/mmm (No. 123)
Symmetry-distinct sites (fractional):
Fe  0.0000  0.0000  0.0000 (multiplicity 1)  2 S 2.28, 4 Cl 2.37
Co  0.5000  0.5000  0.5000 (multiplicity 1)  8 Cl 3.29, 4 S 3.35
S  0.0000  0.0000  0.5000 (multiplicity 1)  2 Fe 2.28
Cl  0.0000  0.5000  0.0000 (multiplicity 2)  2 Fe 2.37

Output
The theoretical density comes out at 3.52 Mg/m³. The uncorrected formation energy is 0.4062 eV per atom. As for the total magnetization: 6.281 μB/f.u. The excess energy over the best structure of this formula in the dataset is 0.064 eV per atom.

No. 11
Here is a relaxed structure of FeCoSCl2 from Alexandria via LeMat-Bulk. Energies are from PBE-GGA.

a b c (Å): 4.5876 4.5876 4.4661
angles (deg): 90.00 90.00 90.00
Closest atoms and distances in Å follow each position.
Space group P4/mmm (No. 123)
Symmetry-distinct sites (fractional):
Fe  0.0000  0.0000  0.0000 (multiplicity 1)  8 Cl 3.20, 4 S 3.24
Co  0.5000  0.5000  0.5000 (multiplicity 1)  2 S 2.23, 4 Cl 2.29
S  0.5000  0.5000  0.0000 (multiplicity 1)  2 Co 2.23
Cl  0.0000  0.5000  0.5000 (multiplicity 2)  2 Co 2.29

Output
The theoretical density comes out at 3.85 Mg/m³. The uncorrected formation energy is 0.3418 eV per atom. As for the total magnetization: 5.087 μB/f.u. The excess energy over the best structure of this formula in the dataset is 0.000 eV per atom.

No. 12
Here is a relaxed structure of ScFeCoCl2 from Alexandria via LeMat-Bulk. Energies are from PBE-GGA.

a b c (Å): 4.4727 4.4727 4.9020
angles (deg): 90.00 90.00 90.00
Closest atoms and distances in Å follow each position.
Space group P4/mmm (No. 123)
Symmetry-distinct sites (fractional):
Sc  0.0000  0.0000  0.0000 (multiplicity 1)  2 Co 2.45
Fe  0.5000  0.5000  0.0000 (multiplicity 1)  4 Sc 3.16, 8 Cl 3.32
Co  0.0000  0.0000  0.5000 (multiplicity 1)  4 Cl 2.24, 2 Sc 2.45
Cl  0.0000  0.5000  0.5000 (multiplicity 2)  2 Co 2.24

Output
The theoretical density comes out at 3.91 Mg/m³. The uncorrected formation energy is 0.3631 eV per atom. As for the total magnetization: 3.324 μB/f.u.